The following is a PBE+U calculation of BiPt2WF after structural relaxation, from Alexandria.

abc: 4.9460 4.0367 4.9460
angles: 90.00 90.00 90.00
With the nearest neighbours (Å) after each atom.
Atoms (fractional coordinates):
W (0.0000, 0.5000, 0.0000)  2 F 2.02
Bi (0.5000, 0.5000, 0.5000)  8 Pt 3.19, 4 W 3.50
Pt (0.0000, 0.0000, 0.5000)  2 F 2.47
Pt (0.5000, 0.0000, 0.0000)  2 F 2.47
F (0.0000, 0.0000, 0.0000)  2 W 2.02

Properties
Spin magnetization, μB/f.u.: 2.96
Volume, A^3/atom: 19.75
Electronic total energy, eV per atom: -4.62